# KVO2 | Alexandria via LeMat-Bulk | PBE+U | relaxed
data_KVO2
_space_group_name_H-M_alt 'P 1 21/m 1'
_space_group_IT_number 11
_space_group_name_Hall '-P 2yb'
_cell_length_a 3.539
_cell_length_b 4.259
_cell_length_c 8.419
_cell_angle_alpha 90.00
_cell_angle_beta 102.06
_cell_angle_gamma 90.00
loop_
_atom_site_label
_atom_site_type_symbol
_atom_site_fract_x
_atom_site_fract_y
_atom_site_fract_z
_atom_site_occupancy
K1 K 0.072 0.250 0.142 1
V1 V 0.293 0.250 0.586 1
O1 O 0.266 0.750 0.532 1
O2 O 0.403 0.250 0.807 1
# Electronic total energy = -6.36 eV per atom
# Crystal system = monoclinic